1.
The following is a DFT calculation (PBE) of a geometry-optimized SrGa5Au3 structure.

Cell: 4.243 13.277 13.548 Å, 90.00 90.00 90.00°
Space group Cmcm (No. 63)
Unique sites:
Sr 0.000 0.159 0.250 (multiplicity 4)
Ga 0.000 0.000 0.000 (multiplicity 4)
Ga 0.000 0.189 0.568 (multiplicity 8)
Ga 0.000 0.447 0.150 (multiplicity 8)
Au 0.000 0.122 0.750 (multiplicity 4)
Au 0.000 0.380 0.557 (multiplicity 8)

ΔH_f (0 K) ... -0.366 eV/atom
ρ ... 8.9 g cm⁻³



2.
The following is a DFT calculation (PBE) of a geometry-optimized ScV4 structure.

Cell: 4.441 4.441 4.441 Å, 90.00 90.00 90.00°
Space group Pm-3m (No. 221)
Unique sites:
Sc 0.000 0.000 0.000 (multiplicity 1)
V 0.000 0.000 0.500 (multiplicity 3)
V 0.500 0.500 0.500 (multiplicity 1)

ΔH_f (0 K) ... 1.674 eV/atom
ρ ... 4.7 g cm⁻³



3.
The following is a DFT calculation (PBE) of a geometry-optimized La9Pm2Mg structure.

Cell: 5.199 5.199 15.700 Å, 90.00 90.00 90.00°
Space group P4/mmm (No. 123)
Unique sites:
La 0.000 0.000 0.000 (multiplicity 1)
La 0.000 0.000 0.331 (multiplicity 2)
La 0.000 0.500 0.163 (multiplicity 4)
La 0.000 0.500 0.500 (multiplicity 2)
Pm 0.500 0.500 0.330 (multiplicity 2)
Mg 0.500 0.500 0.000 (multiplicity 1)

ΔH_f (0 K) ... -0.001 eV/atom
ρ ... 6.1 g cm⁻³



4.
The following is a DFT calculation (PBE) of a geometry-optimized NbGeN structure.

Cell: 2.902 12.296 5.404 Å, 90.00 90.00 90.00°
Space group Amm2 (No. 38)
Unique sites:
Nb 0.000 0.192 0.000 (multiplicity 4)
Ge 0.000 0.000 0.298 (multiplicity 2)
Ge 0.500 0.000 0.839 (multiplicity 2)
N 0.500 0.250 0.244 (multiplicity 4)

ρ ... 6.2 g cm⁻³
Polymorph energy (0 for the lowest one) ... 0.32 eV/f.u.
Formation energy (no corrections) ... -34.9 kJ/mol of atoms